Density functional theory data (GGA-PBE) for a relaxed Cd2SBrN crystal.

Calculated values
Final energy ... -10.08 eV per cell
N(E_F) ... 0.659 states/eV/atom
Formation energy without anion corrections ... 113.45 kJ per mole of atoms

a b c (Å): 5.4291 5.4291 3.7693
angles (deg): 90.00 90.00 90.00
Last column: nearest neighbours and their distance in Å.
Space group P4/mmm (No. 123)
Asymmetric unit:
Cd  0.0000  0.5000  0.0000 [2 per cell]  2 Br 2.71
S  0.0000  0.0000  0.5000 [1 per cell]  8 Cd 3.30
Br  0.5000  0.5000  0.0000 [1 per cell]  2 N 1.88
N  0.5000  0.5000  0.5000 [1 per cell]  2 Br 1.88



Density functional theory data (GGA-PBE) for a relaxed ScCdBr2N crystal.

Calculated values
Final energy ... -13.10 eV per cell
N(E_F) ... 0.836 states/eV/atom
Formation energy without anion corrections ... 112.33 kJ per mole of atoms

a b c (Å): 5.1462 5.1462 6.2579
angles (deg): 90.00 90.00 90.00
Last column: nearest neighbours and their distance in Å.
Space group P4/mmm (No. 123)
Asymmetric unit:
Sc  0.0000  0.0000  0.0000 [1 per cell]  2 Cd 3.13
Cd  0.0000  0.0000  0.5000 [1 per cell]  4 Br 2.57
Br  0.0000  0.5000  0.5000 [2 per cell]  2 Cd 2.57
N  0.5000  0.5000  0.0000 [1 per cell]  4 Sc 3.64, 8 Br 4.05



Density functional theory data (GGA-PBE) for a relaxed ScCd2BrN crystal.

Calculated values
Final energy ... -19.15 eV per cell
N(E_F) ... 0.588 states/eV/atom
Formation energy without anion corrections ... -19.09 kJ per mole of atoms

a b c (Å): 5.1284 5.1284 4.1626
angles (deg): 90.00 90.00 90.00
Last column: nearest neighbours and their distance in Å.
Space group P4/mmm (No. 123)
Asymmetric unit:
Sc  0.0000  0.0000  0.0000 [1 per cell]  2 N 2.08
Cd  0.0000  0.5000  0.5000 [2 per cell]  2 N 2.56
Br  0.5000  0.5000  0.0000 [1 per cell]  8 Cd 3.30, 4 Sc 3.63
N  0.0000  0.0000  0.5000 [1 per cell]  2 Sc 2.08



Density functional theory data (GGA-PBE) for a relaxed CdSeBrN2 crystal.

Calculated values
Final energy ... -14.33 eV per cell
E above lowest polymorph ... 0 meV/atom
N(E_F) ... 0.364 states/eV/atom
Formation energy without anion corrections ... 162.05 kJ per mole of atoms

a b c (Å): 4.3081 4.3081 6.1269
angles (deg): 90.00 90.00 90.00
Last column: nearest neighbours and their distance in Å.
Space group P4/mmm (No. 123)
Asymmetric unit:
Cd  0.0000  0.0000  0.0000 [1 per cell]  4 N 2.15
Se  0.0000  0.0000  0.5000 [1 per cell]  4 Br 3.05, 2 Cd 3.06
Br  0.5000  0.5000  0.5000 [1 per cell]  4 Se 3.05
N  0.0000  0.5000  0.0000 [2 per cell]  2 Cd 2.15



- Number 4 is which compound?
  CdSeBrN2